## i
First-principles (PBE-GGA) data for crystalline Y2TeMo2 at its relaxed geometry, as listed in the Alexandria database.

## Properties
Fermi-level density of states: 12.96 states/eV per cell

a = 4.660 Å, b = 4.660 Å, c = 11.973 Å
α = 90.00°, β = 90.00°, γ = 90.00°
Space group I4/mmm (No. 139)
Unique sites:
Y1 0.000 0.500 0.250 (multiplicity 4)
Te1 0.000 0.000 0.000 (multiplicity 2)
Mo1 0.000 0.000 0.410 (multiplicity 4)

***

## ii
First-principles (PBE-GGA) data for crystalline Y2TeMo2 at its relaxed geometry, as listed in the Alexandria database.

## Properties
Fermi-level density of states: 5.98 states/eV per cell

a = 7.422 Å, b = 7.422 Å, c = 4.322 Å
α = 90.00°, β = 90.00°, γ = 90.00°
Space group P4/mbm (No. 127)
Unique sites:
Y1 0.178 0.322 0.000 (multiplicity 4)
Te1 0.000 0.000 0.500 (multiplicity 2)
Mo1 0.107 0.607 0.500 (multiplicity 4)

***

Out of the structures above, which one is the most stable? Solution: ii.